--- P ---
{
  "formula": "TeI",
  "functional": "PBE",
  "state": "optimized geometry",
  "total_magnetization_mub_per_fu": 0.00,
  "vol_a3_per_cell": 436,
  "mass_density_g_cm3": 3.88,
  "lattice_angstrom": [[7.194, 0.000, 0.000], [1.809, 7.601, 0.000], [3.373, 1.941, 7.977]],
  "species": ["Te", "Te", "Te", "Te", "I", "I", "I", "I"],
  "frac_coords": [[0.000, 0.000, 0.000], [0.072, 0.575, 0.083], [0.329, 0.032, 0.719], [0.843, 0.417, 0.974], [0.226, 0.562, 0.708], [0.532, 0.299, 0.278], [0.641, 0.020, 0.842], [0.834, 0.576, 0.415]]
}

--- Q ---
{
  "formula": "TeI",
  "functional": "PBE",
  "state": "optimized geometry",
  "total_magnetization_mub_per_fu": 0.00,
  "vol_a3_per_cell": 400,
  "mass_density_g_cm3": 4.23,
  "lattice_angstrom": [[13.091, 0.000, 0.000], [0.000, 4.256, 0.000], [-6.482, 0.000, 7.180]],
  "species": ["Te", "Te", "Te", "Te", "I", "I", "I", "I"],
  "frac_coords": [[0.000, 0.000, 0.000], [0.192, 0.500, 0.263], [0.500, 0.500, 0.000], [0.692, 0.000, 0.263], [0.343, 0.500, 0.110], [0.401, 0.000, 0.560], [0.843, 0.000, 0.110], [0.901, 0.500, 0.560]]
}

Result of the stability comparison: Q is the most stable of them.

--- P ---
{
  "formula": "TeI",
  "functional": "PBE",
  "state": "optimized geometry",
  "total_magnetization_mub_per_fu": 0.00,
  "vol_a3_per_cell": 393,
  "mass_density_g_cm3": 4.31,
  "lattice_angstrom": [[15.660, 0.000, 0.000], [0.000, 4.232, 0.000], [-0.275, 0.000, 5.925]],
  "species": ["Te", "Te", "Te", "Te", "I", "I", "I", "I"],
  "frac_coords": [[0.000, 0.000, 0.000], [0.130, 0.500, 0.021], [0.500, 0.500, 0.000], [0.630, 0.000, 0.021], [0.186, 0.500, 0.484], [0.356, 0.000, 0.963], [0.686, 0.000, 0.484], [0.856, 0.500, 0.963]]
}

--- Q ---
{
  "formula": "TeI",
  "functional": "PBE",
  "state": "optimized geometry",
  "total_magnetization_mub_per_fu": 0.00,
  "vol_a3_per_cell": 377,
  "mass_density_g_cm3": 4.49,
  "lattice_angstrom": [[6.126, 0.000, 0.000], [-0.165, 7.862, 0.000], [-1.320, -2.933, 7.821]],
  "species": ["Te", "Te", "Te", "Te", "I", "I", "I", "I"],
  "frac_coords": [[0.000, 0.000, 0.000], [0.051, 0.740, 0.372], [0.297, 0.725, 0.719], [0.775, 0.730, 0.045], [0.076, 0.432, 0.751], [0.345, 0.052, 0.314], [0.646, 0.039, 0.725], [0.727, 0.456, 0.315]]
}

Result of the stability comparison: P is the most stable of them.

--- P ---
{
  "formula": "TeI",
  "functional": "PBE",
  "state": "optimized geometry",
  "total_magnetization_mub_per_fu": 0.00,
  "vol_a3_per_cell": 176,
  "mass_density_g_cm3": 4.80,
  "lattice_angstrom": [[4.634, 0.000, 0.000], [0.000, 4.573, 0.000], [-2.161, 0.000, 8.310]],
  "species": ["Te", "Te", "I", "I"],
  "frac_coords": [[0.241, 0.250, 0.481], [0.759, 0.750, 0.519], [0.398, 0.250, 0.815], [0.602, 0.750, 0.185]]
}

--- Q ---
{
  "formula": "TeI",
  "functional": "PBE",
  "state": "optimized geometry",
  "total_magnetization_mub_per_fu": 0.00,
  "vol_a3_per_cell": 742,
  "mass_density_g_cm3": 4.56,
  "lattice_angstrom": [[8.406, 0.000, 0.000], [1.563, 8.792, 0.000], [0.048, 2.354, 10.040]],
  "species": ["Te", "Te", "Te", "Te", "Te", "Te", "Te", "Te", "I", "I", "I", "I", "I", "I", "I", "I"],
  "frac_coords": [[0.010, 0.023, 0.184], [0.200, 0.265, 0.138], [0.293, 0.783, 0.268], [0.483, 0.021, 0.185], [0.517, 0.979, 0.815], [0.707, 0.217, 0.732], [0.800, 0.735, 0.862], [0.990, 0.977, 0.816], [0.184, 0.363, 0.379], [0.209, 0.244, 0.798], [0.295, 0.715, 0.932], [0.297, 0.744, 0.544], [0.703, 0.256, 0.456], [0.705, 0.285, 0.068], [0.791, 0.756, 0.202], [0.816, 0.637, 0.621]]
}

--- R ---
{
  "formula": "TeI",
  "functional": "PBE",
  "state": "optimized geometry",
  "total_magnetization_mub_per_fu": 0.00,
  "vol_a3_per_cell": 379,
  "mass_density_g_cm3": 4.46,
  "lattice_angstrom": [[13.132, 0.000, 0.000], [0.000, 4.123, 0.000], [-4.691, 0.000, 7.004]],
  "species": ["Te", "Te", "Te", "Te", "I", "I", "I", "I"],
  "frac_coords": [[0.166, 0.000, 0.359], [0.334, 0.500, 0.641], [0.666, 0.500, 0.359], [0.834, 0.000, 0.641], [0.094, 0.000, 0.858], [0.406, 0.500, 0.142], [0.594, 0.500, 0.858], [0.906, 0.000, 0.142]]
}

--- S ---
{
  "formula": "TeI",
  "functional": "PBE",
  "state": "optimized geometry",
  "total_magnetization_mub_per_fu": 0.00,
  "vol_a3_per_cell": 408,
  "mass_density_g_cm3": 4.15,
  "lattice_angstrom": [[12.940, 0.000, 0.000], [0.000, 4.228, 0.000], [-4.326, 0.000, 7.454]],
  "species": ["Te", "Te", "Te", "Te", "I", "I", "I", "I"],
  "frac_coords": [[0.000, 0.000, 0.000], [0.121, 0.500, 0.264], [0.500, 0.500, 0.000], [0.621, 0.000, 0.264], [0.124, 0.000, 0.813], [0.263, 0.000, 0.572], [0.624, 0.500, 0.813], [0.763, 0.500, 0.572]]
}

Result of the stability comparison: Q is the most stable of them.

--- P ---
{
  "formula": "TeI",
  "functional": "PBE",
  "state": "optimized geometry",
  "total_magnetization_mub_per_fu": 0.00,
  "vol_a3_per_cell": 360,
  "mass_density_g_cm3": 4.70,
  "lattice_angstrom": [[5.592, 0.000, 0.000], [2.032, 7.489, 0.000], [0.829, -0.185, 8.595]],
  "species": ["Te", "Te", "Te", "Te", "I", "I", "I", "I"],
  "frac_coords": [[0.149, 0.054, 0.385], [0.301, 0.288, 0.578], [0.699, 0.712, 0.422], [0.851, 0.946, 0.615], [0.064, 0.211, 0.873], [0.462, 0.646, 0.736], [0.538, 0.354, 0.264], [0.936, 0.789, 0.127]]
}

--- Q ---
{
  "formula": "TeI",
  "functional": "PBE",
  "state": "optimized geometry",
  "total_magnetization_mub_per_fu": 0.00,
  "vol_a3_per_cell": 376,
  "mass_density_g_cm3": 4.50,
  "lattice_angstrom": [[6.725, 0.000, 0.000], [-1.180, 6.729, 0.000], [-0.687, -2.196, 8.309]],
  "species": ["Te", "Te", "Te", "Te", "I", "I", "I", "I"],
  "frac_coords": [[0.000, 0.000, 0.000], [0.005, 0.364, 0.856], [0.117, 0.752, 0.736], [0.566, 0.941, 0.849], [0.107, 0.179, 0.540], [0.500, 0.133, 0.180], [0.600, 0.686, 0.536], [0.970, 0.584, 0.185]]
}

Result of the stability comparison: P is the most stable of them.

--- P ---
{
  "formula": "TeI",
  "functional": "PBE",
  "state": "optimized geometry",
  "total_magnetization_mub_per_fu": 0.00,
  "vol_a3_per_cell": 366,
  "mass_density_g_cm3": 4.62,
  "lattice_angstrom": [[15.917, 0.000, 0.000], [0.000, 4.248, 0.000], [-0.363, 0.000, 5.413]],
  "species": ["Te", "Te", "Te", "Te", "I", "I", "I", "I"],
  "frac_coords": [[0.000, 0.000, 0.000], [0.082, 0.500, 0.305], [0.500, 0.500, 0.000], [0.582, 0.000, 0.305], [0.170, 0.000, 0.661], [0.344, 0.500, 0.206], [0.670, 0.500, 0.661], [0.844, 0.000, 0.206]]
}

--- Q ---
{
  "formula": "TeI",
  "functional": "PBE",
  "state": "optimized geometry",
  "total_magnetization_mub_per_fu": 0.00,
  "vol_a3_per_cell": 386,
  "mass_density_g_cm3": 4.38,
  "lattice_angstrom": [[6.293, 0.000, 0.000], [2.331, 6.968, 0.000], [3.115, 2.571, 8.806]],
  "species": ["Te", "Te", "Te", "Te", "I", "I", "I", "I"],
  "frac_coords": [[0.000, 0.000, 0.000], [0.011, 0.895, 0.736], [0.552, 0.196, 0.092], [0.981, 0.462, 0.890], [0.113, 0.445, 0.564], [0.361, 0.871, 0.289], [0.593, 0.123, 0.666], [0.992, 0.458, 0.191]]
}

--- R ---
{
  "formula": "TeI",
  "functional": "PBE",
  "state": "optimized geometry",
  "total_magnetization_mub_per_fu": 0.00,
  "vol_a3_per_cell": 424,
  "mass_density_g_cm3": 3.99,
  "lattice_angstrom": [[6.069, 0.000, 0.000], [0.890, 8.491, 0.000], [1.933, 1.291, 8.231]],
  "species": ["Te", "Te", "Te", "Te", "I", "I", "I", "I"],
  "frac_coords": [[0.000, 0.000, 0.000], [0.054, 0.817, 0.691], [0.372, 0.580, 0.819], [0.662, 0.789, 0.924], [0.162, 0.651, 0.165], [0.610, 0.584, 0.493], [0.873, 0.279, 0.796], [0.917, 0.126, 0.295]]
}

--- S ---
{
  "formula": "TeI",
  "functional": "PBE",
  "state": "optimized geometry",
  "total_magnetization_mub_per_fu": 0.00,
  "vol_a3_per_cell": 717,
  "mass_density_g_cm3": 4.71,
  "lattice_angstrom": [[16.926, 0.000, 0.000], [0.000, 4.268, 0.000], [-8.362, 0.000, 9.929]],
  "species": ["Te", "Te", "Te", "Te", "Te", "Te", "Te", "Te", "I", "I", "I", "I", "I", "I", "I", "I"],
  "frac_coords": [[0.126, 0.000, 0.325], [0.239, 0.000, 0.646], [0.261, 0.500, 0.354], [0.374, 0.500, 0.675], [0.626, 0.500, 0.325], [0.739, 0.500, 0.646], [0.761, 0.000, 0.354], [0.874, 0.000, 0.675], [0.018, 0.500, 0.697], [0.175, 0.500, 0.083], [0.325, 0.000, 0.917], [0.482, 0.000, 0.303], [0.518, 0.000, 0.697], [0.675, 0.000, 0.083], [0.825, 0.500, 0.917], [0.982, 0.500, 0.303]]
}

Result of the stability comparison: S is the most stable of them.

--- P ---
{
  "formula": "TeI3",
  "functional": "PBE",
  "state": "optimized geometry",
  "total_magnetization_mub_per_fu": 0.00,
  "vol_a3_per_cell": 533,
  "mass_density_g_cm3": 6.33,
  "lattice_angstrom": [[8.109, 0.000, 0.000], [0.000, 8.109, 0.000], [0.000, 0.000, 8.109]],
  "species": ["Te", "Te", "Te", "Te", "I", "I", "I", "I", "I", "I", "I", "I", "I", "I", "I", "I"],
  "frac_coords": [[0.000, 0.000, 0.000], [0.000, 0.500, 0.500], [0.500, 0.000, 0.500], [0.500, 0.500, 0.000], [0.000, 0.000, 0.500], [0.000, 0.500, 0.000], [0.250, 0.250, 0.250], [0.250, 0.250, 0.750], [0.250, 0.750, 0.250], [0.250, 0.750, 0.750], [0.500, 0.000, 0.000], [0.500, 0.500, 0.500], [0.750, 0.250, 0.250], [0.750, 0.250, 0.750], [0.750, 0.750, 0.250], [0.750, 0.750, 0.750]]
}

--- Q ---
{
  "formula": "TeI3",
  "functional": "PBE",
  "state": "optimized geometry",
  "total_magnetization_mub_per_fu": 1.00,
  "vol_a3_per_cell": 1246,
  "mass_density_g_cm3": 2.71,
  "lattice_angstrom": [[9.398, 0.000, 0.000], [0.000, 9.398, 0.000], [0.000, 0.000, 14.107]],
  "species": ["Te", "Te", "Te", "Te", "I", "I", "I", "I", "I", "I", "I", "I", "I", "I", "I", "I"],
  "frac_coords": [[0.000, 0.250, 0.375], [0.000, 0.750, 0.625], [0.500, 0.250, 0.125], [0.500, 0.750, 0.875], [0.000, 0.000, 0.500], [0.000, 0.250, 0.875], [0.000, 0.500, 0.500], [0.000, 0.750, 0.125], [0.250, 0.250, 0.250], [0.250, 0.750, 0.750], [0.500, 0.000, 0.000], [0.500, 0.250, 0.625], [0.500, 0.500, 0.000], [0.500, 0.750, 0.375], [0.750, 0.250, 0.250], [0.750, 0.750, 0.750]]
}

--- R ---
{
  "formula": "TeI3",
  "functional": "PBE",
  "state": "optimized geometry",
  "total_magnetization_mub_per_fu": 0.00,
  "vol_a3_per_cell": 356,
  "mass_density_g_cm3": 4.74,
  "lattice_angstrom": [[4.063, 0.000, 0.000], [0.000, 10.522, 0.000], [0.000, 0.000, 8.339]],
  "species": ["Te", "Te", "I", "I", "I", "I", "I", "I"],
  "frac_coords": [[0.000, 0.000, 0.000], [0.500, 0.500, 0.500], [0.000, 0.295, 0.431], [0.000, 0.500, 0.844], [0.000, 0.705, 0.431], [0.500, 0.000, 0.344], [0.500, 0.205, 0.931], [0.500, 0.795, 0.931]]
}

Result of the stability comparison: R is the most stable of them.

--- P ---
{
  "formula": "ThTe2I",
  "functional": "PBE",
  "state": "optimized geometry",
  "total_magnetization_mub_per_fu": 0.87,
  "vol_a3_per_cell": 515,
  "mass_density_g_cm3": 5.94,
  "lattice_angstrom": [[4.455, 0.000, 0.000], [-2.227, 3.858, 0.000], [0.000, 0.000, 29.984]],
  "species": ["Th", "Th", "Th", "Te", "Te", "Te", "Te", "Te", "Te", "I", "I", "I"],
  "frac_coords": [[0.000, 0.000, 0.000], [0.333, 0.667, 0.667], [0.667, 0.333, 0.333], [0.000, 0.000, 0.273], [0.000, 0.000, 0.727], [0.333, 0.667, 0.394], [0.333, 0.667, 0.940], [0.667, 0.333, 0.060], [0.667, 0.333, 0.606], [0.000, 0.000, 0.500], [0.333, 0.667, 0.167], [0.667, 0.333, 0.833]]
}

--- Q ---
{
  "formula": "ThTe2I",
  "functional": "PBE",
  "state": "optimized geometry",
  "total_magnetization_mub_per_fu": 0.00,
  "vol_a3_per_cell": 169,
  "mass_density_g_cm3": 6.02,
  "lattice_angstrom": [[4.521, 0.000, 0.000], [2.246, 3.925, 0.000], [0.882, 0.625, 9.541]],
  "species": ["Th", "Te", "Te", "I"],
  "frac_coords": [[0.000, 0.000, 0.000], [0.354, 0.363, 0.814], [0.646, 0.637, 0.186], [0.500, 0.500, 0.500]]
}

Result of the stability comparison: Q is the most stable of them.

--- P ---
{
  "formula": "ThTeI2",
  "functional": "PBE",
  "state": "optimized geometry",
  "total_magnetization_mub_per_fu": 0.00,
  "vol_a3_per_cell": 384,
  "mass_density_g_cm3": 5.30,
  "lattice_angstrom": [[11.212, 0.000, 0.000], [0.000, 4.200, 0.000], [-3.172, 0.000, 8.157]],
  "species": ["Th", "Th", "Te", "Te", "I", "I", "I", "I"],
  "frac_coords": [[0.000, 0.000, 0.000], [0.500, 0.500, 0.000], [0.205, 0.500, 0.000], [0.705, 0.000, 0.000], [0.008, 0.500, 0.280], [0.350, 0.000, 0.720], [0.508, 0.000, 0.280], [0.850, 0.500, 0.720]]
}

--- Q ---
{
  "formula": "ThTeI2",
  "functional": "PBE",
  "state": "optimized geometry",
  "total_magnetization_mub_per_fu": 0.00,
  "vol_a3_per_cell": 659,
  "mass_density_g_cm3": 6.18,
  "lattice_angstrom": [[4.300, 0.000, 0.000], [0.000, 15.179, 0.000], [0.000, 0.000, 10.097]],
  "species": ["Th", "Th", "Th", "Th", "Te", "Te", "Te", "Te", "I", "I", "I", "I", "I", "I", "I", "I"],
  "frac_coords": [[0.000, 0.231, 0.250], [0.000, 0.769, 0.750], [0.500, 0.269, 0.750], [0.500, 0.731, 0.250], [0.000, 0.408, 0.750], [0.000, 0.592, 0.250], [0.500, 0.092, 0.250], [0.500, 0.908, 0.750], [0.000, 0.153, 0.568], [0.000, 0.153, 0.932], [0.000, 0.847, 0.068], [0.000, 0.847, 0.432], [0.500, 0.347, 0.068], [0.500, 0.347, 0.432], [0.500, 0.653, 0.568], [0.500, 0.653, 0.932]]
}

Result of the stability comparison: Q is the most stable of them.

--- P ---
{
  "formula": "TiTe2I",
  "functional": "PBE",
  "state": "optimized geometry",
  "total_magnetization_mub_per_fu": 0.00,
  "vol_a3_per_cell": 382,
  "mass_density_g_cm3": 5.61,
  "lattice_angstrom": [[3.993, 0.000, 0.000], [-1.997, 3.458, 0.000], [0.000, 0.000, 27.658]],
  "species": ["Ti", "Ti", "Ti", "Te", "Te", "Te", "Te", "Te", "Te", "I", "I", "I"],
  "frac_coords": [[0.000, 0.000, 0.000], [0.333, 0.667, 0.667], [0.667, 0.333, 0.333], [0.000, 0.000, 0.391], [0.000, 0.000, 0.609], [0.333, 0.667, 0.057], [0.333, 0.667, 0.276], [0.667, 0.333, 0.724], [0.667, 0.333, 0.943], [0.000, 0.000, 0.500], [0.333, 0.667, 0.167], [0.667, 0.333, 0.833]]
}

--- Q ---
{
  "formula": "TiTe2I",
  "functional": "PBE",
  "state": "optimized geometry",
  "total_magnetization_mub_per_fu": 0.00,
  "vol_a3_per_cell": 417,
  "mass_density_g_cm3": 6.85,
  "lattice_angstrom": [[7.471, 0.000, 0.000], [0.000, 7.471, 0.000], [0.000, 0.000, 7.471]],
  "species": ["Ti", "Ti", "Ti", "Ti", "Te", "Te", "Te", "Te", "Te", "Te", "Te", "Te", "I", "I", "I", "I"],
  "frac_coords": [[0.000, 0.000, 0.000], [0.000, 0.500, 0.500], [0.500, 0.000, 0.500], [0.500, 0.500, 0.000], [0.250, 0.250, 0.250], [0.250, 0.250, 0.750], [0.250, 0.750, 0.250], [0.250, 0.750, 0.750], [0.750, 0.250, 0.250], [0.750, 0.250, 0.750], [0.750, 0.750, 0.250], [0.750, 0.750, 0.750], [0.000, 0.000, 0.500], [0.000, 0.500, 0.000], [0.500, 0.000, 0.000], [0.500, 0.500, 0.500]]
}

--- R ---
{
  "formula": "TiTe2I",
  "functional": "PBE",
  "state": "optimized geometry",
  "total_magnetization_mub_per_fu": 0.00,
  "vol_a3_per_cell": 505,
  "mass_density_g_cm3": 5.66,
  "lattice_angstrom": [[3.741, 0.000, 0.000], [0.000, 14.636, 0.000], [0.000, 0.000, 9.219]],
  "species": ["Ti", "Ti", "Ti", "Ti", "Te", "Te", "Te", "Te", "Te", "Te", "Te", "Te", "I", "I", "I", "I"],
  "frac_coords": [[0.000, 0.225, 0.250], [0.000, 0.775, 0.750], [0.500, 0.275, 0.750], [0.500, 0.725, 0.250], [0.000, 0.175, 0.583], [0.000, 0.175, 0.917], [0.000, 0.825, 0.083], [0.000, 0.825, 0.417], [0.500, 0.325, 0.083], [0.500, 0.325, 0.417], [0.500, 0.675, 0.583], [0.500, 0.675, 0.917], [0.000, 0.423, 0.750], [0.000, 0.577, 0.250], [0.500, 0.077, 0.250], [0.500, 0.923, 0.750]]
}

Result of the stability comparison: R is the most stable of them.